(1)
Density functional theory data (PBE-GGA) for LiPmNpO5 after structural relaxation.

Calculated values
total magnetic moment = 1.000 μB/f.u.
Fermi-level density of states = 0.2 states/eV/f.u.
total energy = -134.8 eV/cell

a = 5.9184 Å, b = 5.9184 Å, c = 8.1103 Å
α = 107.56°, β = 107.56°, γ = 104.77°
Element x y z (fractional)
Np  0.0000  0.0000  0.5000
Np  0.0000  0.0000  0.0000
O  0.7299  0.6610  0.3883
O  0.2701  0.3390  0.6117
O  0.6916  0.1223  0.4255
O  0.3084  0.8777  0.5745
O  0.0684  0.9316  0.2500
O  0.9316  0.0684  0.7500
O  0.8777  0.3084  0.0745
O  0.1223  0.6916  0.9255
O  0.3390  0.2701  0.1117
O  0.6610  0.7299  0.8883
Pm  0.6821  0.3179  0.7500
Pm  0.3179  0.6821  0.2500
Li  0.6887  0.3113  0.2500
Li  0.3113  0.6887  0.7500

=====

(2)
Density functional theory data (PBE-GGA) for LiPmNp2O8 after structural relaxation.

Calculated values
total magnetic moment = 2.000 μB/f.u.
Fermi-level density of states = 10.2 states/eV/f.u.
total energy = -104.9 eV/cell

a = 5.3381 Å, b = 5.3381 Å, c = 6.4119 Å
α = 114.60°, β = 114.60°, γ = 90.00°
Element x y z (fractional)
O  0.1512  0.1246  0.7515
O  0.1514  0.6269  0.7519
O  0.6003  0.6269  0.7515
O  0.6005  0.1250  0.7519
O  0.8750  0.8486  0.2481
O  0.8754  0.3997  0.2485
O  0.3731  0.3995  0.2481
O  0.3731  0.8488  0.2485
Pm  0.7500  0.2500  0.5000
Np  0.2500  0.7500  0.5000
Np  0.5000  0.5000  0.0000
Li  0.0000  0.0000  0.0000

=====

(3)
Density functional theory data (PBE-GGA) for LiPr2NpO6 after structural relaxation.

Calculated values
total magnetic moment = 2.000 μB/f.u.
Fermi-level density of states = 8.3 states/eV/f.u.
total energy = -83.6 eV/cell

a = 5.9173 Å, b = 5.9174 Å, c = 5.9645 Å
α = 60.26°, β = 60.26°, γ = 60.00°
Element x y z (fractional)
Pr  0.5401  0.5401  0.3797
Pr  0.0349  0.0349  0.8952
O  0.6687  0.1117  0.7769
O  0.9623  0.5911  0.2628
O  0.5911  0.1839  0.2628
O  0.4427  0.6687  0.7769
O  0.1117  0.4427  0.7769
O  0.1839  0.9623  0.2628
Li  0.8112  0.8112  0.5664
Np  0.3151  0.3151  0.0547

=====

(4)
Density functional theory data (PBE-GGA) for Li2PrNpO6 after structural relaxation.

Calculated values
total magnetic moment = 0.000 μB/f.u.
total energy = -77.8 eV/cell

a = 5.3959 Å, b = 5.3959 Å, c = 6.2775 Å
α = 64.54°, β = 64.54°, γ = 60.00°
Element x y z (fractional)
O  0.9424  0.5662  0.2585
O  0.0660  0.3995  0.8445
O  0.6900  0.0661  0.8445
O  0.3994  0.6900  0.8446
O  0.5663  0.2328  0.2584
O  0.2328  0.9424  0.2585
Li  0.0135  0.0136  0.9594
Li  0.6188  0.6187  0.1437
Np  0.3162  0.3162  0.0515
Pr  0.8161  0.8162  0.5515

=====

(5)
Density functional theory data (PBE-GGA) for LiPrNp2O8 after structural relaxation.

Calculated values
total magnetic moment = 2.000 μB/f.u.
Fermi-level density of states = 4.8 states/eV/f.u.
total energy = -105.9 eV/cell

a = 5.0607 Å, b = 5.0752 Å, c = 6.9956 Å
α = 90.00°, β = 90.00°, γ = 86.27°
Element x y z (fractional)
O  0.7813  0.2203  0.7619
O  0.6718  0.6725  0.0000
O  0.3250  0.3239  0.5000
O  0.3282  0.3275  0.0000
O  0.2187  0.7797  0.7619
O  0.6750  0.6761  0.5000
O  0.7813  0.2203  0.2381
O  0.2187  0.7797  0.2381
Np  0.5000  0.5000  0.2424
Np  0.5000  0.5000  0.7576
Pr  0.0000  0.0000  0.5000
Li  0.0000  0.0000  0.0000

=====

(6)
Density functional theory data (PBE-GGA) for Li2NpPtO8 after structural relaxation.

Calculated values
total magnetic moment = 2.500 μB/f.u.
Fermi-level density of states = 6.4 states/eV/f.u.
total energy = -77.2 eV/cell

a = 5.9041 Å, b = 5.9041 Å, c = 5.9041 Å
α = 113.84°, β = 113.84°, γ = 101.05°
Element x y z (fractional)
O  0.9242  0.7139  0.2104
O  0.9384  0.2242  0.2858
O  0.5035  0.7139  0.7896
O  0.7758  0.0616  0.7142
O  0.9384  0.6525  0.7142
O  0.2861  0.4965  0.2104
O  0.2861  0.0758  0.7896
O  0.3475  0.0616  0.2858
Pt  0.2500  0.7500  0.5000
Np  0.0000  0.0000  0.0000
Li  0.5000  0.5000  0.0000
Li  0.7500  0.2500  0.5000

=====

(7)
Density functional theory data (PBE-GGA) for Li2NpPtO5 after structural relaxation.

Calculated values
total magnetic moment = 0.940 μB/f.u.
Fermi-level density of states = 6.6 states/eV/f.u.
total energy = -117.7 eV/cell

a = 5.3882 Å, b = 6.5442 Å, c = 6.5442 Å
α = 90.00°, β = 90.00°, γ = 90.00°
Element x y z (fractional)
O  0.7522  0.8559  0.3559
O  0.5000  0.5000  0.5000
O  0.2478  0.3559  0.1441
O  0.2478  0.1441  0.6441
O  0.7522  0.3559  0.1441
O  0.7522  0.1441  0.6441
O  0.5000  0.0000  0.0000
O  0.2478  0.8559  0.3559
O  0.2478  0.6441  0.8559
O  0.7522  0.6441  0.8559
Li  0.5000  0.7922  0.7078
Li  0.5000  0.7078  0.2078
Li  0.5000  0.2922  0.7922
Li  0.5000  0.2078  0.2922
Np  0.0000  0.5000  0.0000
Np  0.0000  0.0000  0.5000
Pt  0.0000  0.0000  0.0000
Pt  0.0000  0.5000  0.5000

=====

(8)
Density functional theory data (PBE-GGA) for Li2PuNpO8 after structural relaxation.

Calculated values
total magnetic moment = 0.987 μB/f.u.
total energy = -97.9 eV/cell

a = 5.8543 Å, b = 5.8543 Å, c = 5.8543 Å
α = 113.15°, β = 113.15°, γ = 102.35°
Element x y z (fractional)
Li  0.7500  0.2500  0.5000
Li  0.5000  0.5000  0.0000
O  0.9549  0.2507  0.2958
O  0.2894  0.4939  0.2045
O  0.9151  0.7106  0.2045
O  0.3408  0.0451  0.2958
O  0.5061  0.7106  0.7955
O  0.9549  0.6592  0.7042
O  0.2894  0.0849  0.7955
O  0.7493  0.0451  0.7042
Pu  0.2500  0.7500  0.5000
Np  0.0000  0.0000  0.0000

=====

(9)
Density functional theory data (PBE-GGA) for Rb2LiNpO4 after structural relaxation.

Calculated values
total magnetic moment = 2.000 μB/f.u.
Fermi-level density of states = 2.8 states/eV/f.u.
total energy = -54.1 eV/cell

a = 3.5701 Å, b = 5.7240 Å, c = 6.7195 Å
α = 105.47°, β = 90.00°, γ = 90.00°
Element x y z (fractional)
O  0.5000  0.7232  0.8166
O  0.5000  0.2768  0.1834
O  0.0000  0.7171  0.1709
O  0.0000  0.2829  0.8291
Np  0.5000  0.5000  0.0000
Rb  0.0000  0.5000  0.5000
Rb  0.5000  0.0000  0.5000
Li  0.0000  0.0000  0.0000

=====

(10)
Density functional theory data (PBE-GGA) for Rb4LiNp3O12 after structural relaxation.

Calculated values
total magnetic moment = 2.000 μB/f.u.
Fermi-level density of states = 11.8 states/eV/f.u.
total energy = -153.8 eV/cell

a = 7.5192 Å, b = 7.5192 Å, c = 7.5192 Å
α = 109.47°, β = 109.47°, γ = 109.47°
Element x y z (fractional)
O  0.7187  0.0000  0.7187
O  0.5000  0.7500  0.2500
O  0.7187  0.7187  0.0000
O  0.2500  0.5000  0.7500
O  0.7500  0.2500  0.5000
O  0.0000  0.2813  0.2813
O  0.2813  0.0000  0.2813
O  0.2813  0.2813  0.0000
O  0.0000  0.7187  0.7187
O  0.5000  0.2500  0.7500
O  0.7500  0.5000  0.2500
O  0.2500  0.7500  0.5000
Np  0.5000  0.0000  0.5000
Np  0.5000  0.5000  0.0000
Np  0.0000  0.5000  0.5000
Rb  0.0000  0.5000  0.0000
Rb  0.5000  0.5000  0.5000
Rb  0.0000  0.0000  0.5000
Rb  0.5000  0.0000  0.0000
Li  0.0000  0.0000  0.0000

=====

(11)
Density functional theory data (PBE-GGA) for Rb3LiNp2O6 after structural relaxation.

Calculated values
total magnetic moment = 6.000 μB/f.u.
Fermi-level density of states = 13.8 states/eV/f.u.
total energy = -87.2 eV/cell

a = 6.0817 Å, b = 6.0817 Å, c = 6.8264 Å
α = 98.29°, β = 98.29°, γ = 120.28°
Element x y z (fractional)
Np  0.3332  0.6668  0.0000
Np  0.6668  0.3332  0.0000
Rb  0.5000  0.5000  0.5000
Rb  0.8427  0.1573  0.5000
Rb  0.1573  0.8427  0.5000
O  0.4245  0.0594  0.1808
O  0.3008  0.3008  0.8258
O  0.5755  0.9406  0.8192
O  0.0594  0.4245  0.1808
O  0.9406  0.5755  0.8192
O  0.6992  0.6992  0.1742
Li  0.0000  0.0000  0.0000

=====

(12)
Density functional theory data (PBE-GGA) for RbLi2NpO6 after structural relaxation.

Calculated values
total magnetic moment = 0.056 μB/f.u.
total energy = -134.9 eV/cell

a = 5.6645 Å, b = 7.2517 Å, c = 7.2517 Å
α = 99.04°, β = 90.50°, γ = 90.50°
Element x y z (fractional)
Li  0.6668  0.2376  0.4068
Li  0.3332  0.7624  0.5932
Li  0.8332  0.5932  0.7624
Li  0.1668  0.4068  0.2376
Np  0.2500  0.2969  0.7031
Np  0.7500  0.7031  0.2969
O  0.7998  0.6982  0.0333
O  0.3047  0.2700  0.4368
O  0.6544  0.3632  0.7402
O  0.8047  0.4368  0.2700
O  0.3456  0.6368  0.2598
O  0.8456  0.2598  0.6368
O  0.1544  0.7402  0.3632
O  0.6953  0.7300  0.5632
O  0.2002  0.3018  0.9667
O  0.7002  0.9667  0.3018
O  0.2998  0.0333  0.6982
O  0.1953  0.5632  0.7300
Rb  0.7500  0.0762  0.9238
Rb  0.2500  0.9238  0.0762

=====

(13)
Density functional theory data (PBE-GGA) for RbLi4Np3O12 after structural relaxation.

Calculated values
total magnetic moment = 2.000 μB/f.u.
Fermi-level density of states = 10.3 states/eV/f.u.
total energy = -155.8 eV/cell

a = 7.1578 Å, b = 7.1578 Å, c = 7.1578 Å
α = 106.53°, β = 106.53°, γ = 106.53°
Element x y z (fractional)
O  0.5000  0.1076  0.8924
O  0.2654  0.3714  0.9549
O  0.6286  0.7346  0.0451
O  0.3714  0.9549  0.2654
O  0.0451  0.6286  0.7346
O  0.6672  0.5000  0.3328
O  0.7346  0.0451  0.6286
O  0.9549  0.2654  0.3714
O  0.8924  0.5000  0.1076
O  0.3328  0.6672  0.5000
O  0.5000  0.3328  0.6672
O  0.1076  0.8924  0.5000
Np  0.0000  0.5602  0.4398
Np  0.5602  0.4398  0.0000
Np  0.4398  0.0000  0.5602
Li  0.5000  0.5000  0.5000
Li  0.0640  0.5000  0.9360
Li  0.9360  0.0640  0.5000
Li  0.5000  0.9360  0.0640
Rb  0.0000  0.0000  0.0000

=====

(14)
Density functional theory data (PBE-GGA) for RbLiNpO3 after structural relaxation.

Calculated values
total magnetic moment = 3.000 μB/f.u.
Fermi-level density of states = 6.8 states/eV/f.u.
total energy = -89.6 eV/cell

a = 3.5455 Å, b = 6.5346 Å, c = 8.9320 Å
α = 90.00°, β = 90.00°, γ = 105.74°
Element x y z (fractional)
O  0.3958  0.7915  0.9493
O  0.0326  0.0651  0.7500
O  0.3958  0.7915  0.5507
O  0.6042  0.2085  0.4493
O  0.9674  0.9349  0.2500
O  0.6042  0.2085  0.0507
Np  0.0000  0.0000  0.0000
Np  0.0000  0.0000  0.5000
Li  0.5452  0.0904  0.2500
Li  0.4548  0.9096  0.7500
Rb  0.7305  0.4611  0.7500
Rb  0.2695  0.5389  0.2500

=====

(15)
Density functional theory data (PBE-GGA) for Rb3LiNp3O8 after structural relaxation.

Calculated values
total magnetic moment = 9.000 μB/f.u.
Fermi-level density of states = 20.7 states/eV/f.u.
total energy = -119.0 eV/cell

a = 6.9503 Å, b = 6.9482 Å, c = 7.6869 Å
α = 116.86°, β = 90.00°, γ = 120.01°
Element x y z (fractional)
Rb  0.0000  0.5000  0.0000
Rb  0.5000  0.5000  0.0000
Rb  0.0000  0.0000  0.0000
O  0.7277  0.4554  0.6832
O  0.2723  0.5446  0.3168
O  0.3001  0.0682  0.3363
O  0.7683  0.5367  0.3366
O  0.6999  0.9318  0.6637
O  0.7681  0.0682  0.3364
O  0.2319  0.9318  0.6636
O  0.2317  0.4633  0.6634
Np  0.5000  0.0000  0.5000
Np  0.0000  0.5000  0.5000
Np  0.5000  0.5000  0.5000
Li  0.0000  0.0000  0.5000

=====

(16)
Density functional theory data (PBE-GGA) for Rb2Li2NpO4 after structural relaxation.

Calculated values
total magnetic moment = 3.000 μB/f.u.
Fermi-level density of states = 7.3 states/eV/f.u.
total energy = -57.1 eV/cell

a = 3.5422 Å, b = 6.7170 Å, c = 6.5623 Å
α = 109.95°, β = 105.66°, γ = 90.00°
Element x y z (fractional)
Li  0.6817  0.9812  0.3634
Li  0.3183  0.0188  0.6366
Np  0.0000  0.0000  0.0000
Rb  0.1416  0.5702  0.2832
Rb  0.8584  0.4298  0.7168
O  0.4820  0.2043  0.9641
O  0.8120  0.8754  0.6241
O  0.5180  0.7957  0.0359
O  0.1880  0.1246  0.3759

=====

(17)
Density functional theory data (PBE-GGA) for RbLiNp2O8 after structural relaxation.

Calculated values
total magnetic moment = 0.000 μB/f.u.
total energy = -96.6 eV/cell

a = 5.4102 Å, b = 5.4324 Å, c = 7.0623 Å
α = 88.03°, β = 87.86°, γ = 83.91°
Element x y z (fractional)
O  0.7526  0.2386  0.2189
O  0.6597  0.6621  0.0213
O  0.6487  0.6539  0.5265
O  0.3513  0.3461  0.4735
O  0.2353  0.7454  0.2213
O  0.2474  0.7614  0.7811
O  0.3403  0.3379  0.9787
O  0.7647  0.2546  0.7787
Np  0.5012  0.4995  0.2427
Np  0.4988  0.5005  0.7573
Rb  0.0000  0.0000  0.5000
Li  0.0000  0.0000  0.0000

=====

(18)
Density functional theory data (PBE-GGA) for Li2NpReO8 after structural relaxation.

Calculated values
total magnetic moment = 0.000 μB/f.u.
total energy = -93.0 eV/cell

a = 4.7813 Å, b = 4.7773 Å, c = 6.4030 Å
α = 90.00°, β = 90.00°, γ = 92.28°
Element x y z (fractional)
Li  0.5000  0.5000  0.7840
Li  0.5000  0.5000  0.2160
O  0.2776  0.2766  0.5000
O  0.1837  0.8153  0.2301
O  0.7224  0.7234  0.5000
O  0.8163  0.1847  0.2301
O  0.1837  0.8153  0.7699
O  0.7241  0.7250  0.0000
O  0.8163  0.1847  0.7699
O  0.2759  0.2750  0.0000
Np  0.0000  0.0000  0.5000
Re  0.0000  0.0000  0.0000

=====

(19)
Density functional theory data (PBE-GGA) for LiNp2RhO8 after structural relaxation.

Calculated values
total magnetic moment = 4.046 μB/f.u.
Fermi-level density of states = 9.6 states/eV/f.u.
total energy = -98.7 eV/cell

a = 5.1121 Å, b = 5.1121 Å, c = 6.3141 Å
α = 113.88°, β = 113.88°, γ = 90.00°
Element x y z (fractional)
O  0.6169  0.1279  0.7433
O  0.8722  0.3828  0.2562
O  0.1264  0.6154  0.7433
O  0.8721  0.8736  0.2567
O  0.3846  0.3831  0.2567
O  0.3840  0.8734  0.2562
O  0.1266  0.1278  0.7438
O  0.6172  0.6160  0.7438
Rh  0.7500  0.2500  0.5000
Li  0.0000  0.0000  0.0000
Np  0.2500  0.7500  0.5000
Np  0.5000  0.5000  0.0000